Record 1
Here is a geometry-optimized Ho4Pb2C structure from the Alexandria database. Energies are from GGA-PBE.

Structure (POSCAR):
```
Ho4Pb2C
1.0
4.8040 0.0000 0.0000
0.0000 4.8040 0.0000
0.0000 0.0000 16.0279
Ho Pb C
8 4 2
direct
0.0000 0.0000 0.1568
0.0000 0.0000 0.8432
0.0000 0.5000 0.0000
0.0000 0.5000 0.5000
0.5000 0.0000 0.0000
0.5000 0.0000 0.5000
0.5000 0.5000 0.3432
0.5000 0.5000 0.6568
0.0000 0.0000 0.3574
0.0000 0.0000 0.6426
0.5000 0.5000 0.1426
0.5000 0.5000 0.8574
0.0000 0.0000 0.0000
0.5000 0.5000 0.5000
```

Results
final energy = -5.55 eV/atom
energy above the most stable polymorph in this dataset = 0.0 meV per atom
DFT formation energy = -0.5543 eV per atom

---

Record 2
Here is a geometry-optimized BaFeRe2 structure from the Alexandria database. Energies are from GGA-PBE.

Structure (POSCAR):
```
BaFeRe2
1.0
4.3232 0.0000 0.0000
-2.1616 3.7440 0.0000
0.0000 0.0000 18.0311
Ba Fe Re
3 3 6
direct
0.0000 0.0000 0.0000
0.3333 0.6667 0.6667
0.6667 0.3333 0.3333
0.0000 0.0000 0.1904
0.3333 0.6667 0.8571
0.6667 0.3333 0.5237
0.0000 0.0000 0.4960
0.0000 0.0000 0.8068
0.3333 0.6667 0.1626
0.3333 0.6667 0.4734
0.6667 0.3333 0.1401
0.6667 0.3333 0.8293
```

Results
final energy = -8.28 eV/atom
energy above the most stable polymorph in this dataset = 0.0 meV per atom
DFT formation energy = 0.5441 eV per atom

---

Record 3
Here is a geometry-optimized BaLaBiAu structure from the Alexandria database. Energies are from GGA-PBE.

Structure (POSCAR):
```
BaLaBiAu
1.0
8.1007 0.0000 0.0000
0.0000 8.1007 0.0000
0.0000 0.0000 8.1007
Ba La Bi Au
4 4 4 4
direct
0.0000 0.0000 0.0000
0.0000 0.5000 0.5000
0.5000 0.0000 0.5000
0.5000 0.5000 0.0000
0.0000 0.0000 0.5000
0.0000 0.5000 0.0000
0.5000 0.0000 0.0000
0.5000 0.5000 0.5000
0.2500 0.2500 0.2500
0.2500 0.7500 0.7500
0.7500 0.2500 0.7500
0.7500 0.7500 0.2500
0.2500 0.2500 0.7500
0.2500 0.7500 0.2500
0.7500 0.2500 0.2500
0.7500 0.7500 0.7500
```

Results
final energy = -4.22 eV/atom
DFT formation energy = -0.7187 eV per atom

---

Record 4
Here is a geometry-optimized TbNd2Te structure from the Alexandria database. Energies are from GGA-PBE.

Structure (POSCAR):
```
TbNd2Te
1.0
3.9293 0.0000 0.0000
-1.9647 3.4029 0.0000
0.0000 0.0000 32.3742
Tb Nd Te
3 6 3
direct
0.0000 0.0000 0.0000
0.3333 0.6667 0.6667
0.6667 0.3333 0.3333
0.0000 0.0000 0.1011
0.0000 0.0000 0.8989
0.3333 0.6667 0.5656
0.3333 0.6667 0.7678
0.6667 0.3333 0.2322
0.6667 0.3333 0.4344
0.0000 0.0000 0.5000
0.3333 0.6667 0.1667
0.6667 0.3333 0.8333
```

Results
final energy = -4.59 eV/atom
energy above the most stable polymorph in this dataset = 312.5 meV per atom
ΔE_f (raw) = -264 meV/atom

---

Record 5
Here is a geometry-optimized IrOsRu2 structure from the Alexandria database. Energies are from GGA-PBE.

Structure (POSCAR):
```
IrOsRu2
1.0
2.7261 0.0000 0.0000
-1.3631 2.3609 0.0000
0.0000 0.0000 26.5216
Ir Os Ru
3 3 6
direct
0.0000 0.0000 0.0000
0.3333 0.6667 0.6667
0.6667 0.3333 0.3333
0.0000 0.0000 0.5000
0.3333 0.6667 0.1667
0.6667 0.3333 0.8333
0.0000 0.0000 0.2490
0.0000 0.0000 0.7510
0.3333 0.6667 0.4176
0.3333 0.6667 0.9157
0.6667 0.3333 0.0843
0.6667 0.3333 0.5824
```

Results
final energy = -9.56 eV/atom
energy above the most stable polymorph in this dataset = 108.0 meV per atom
DFT formation energy = 0.1013 eV per atom

---

Record 6
Here is a geometry-optimized BaSc2Be structure from the Alexandria database. Energies are from GGA-PBE.

Structure (POSCAR):
```
BaSc2Be
1.0
7.1316 0.0000 0.0000
0.0000 7.1316 0.0000
0.0000 0.0000 11.7978
Ba Sc Be
4 8 4
direct
0.0000 0.2500 0.3750
0.0000 0.7500 0.6250
0.5000 0.2500 0.1250
0.5000 0.7500 0.8750
0.0000 0.0000 0.0000
0.0000 0.5000 0.0000
0.2500 0.2500 0.7500
0.2500 0.7500 0.2500
0.5000 0.0000 0.5000
0.5000 0.5000 0.5000
0.7500 0.2500 0.7500
0.7500 0.7500 0.2500
0.0000 0.2500 0.8750
0.0000 0.7500 0.1250
0.5000 0.2500 0.6250
0.5000 0.7500 0.3750
```

Results
final energy = -3.79 eV/atom
DFT formation energy = 0.7857 eV per atom

---

Record 7
Here is a geometry-optimized IrCl structure from the Alexandria database. Energies are from GGA-PBE.

Structure (POSCAR):
```
IrCl
1.0
5.3154 0.0000 0.0000
-2.6577 4.6033 0.0000
0.0000 0.0000 4.4579
Ir Cl
3 3
direct
0.0000 0.4242 0.0000
0.4242 0.0000 0.0000
0.5758 0.5758 0.0000
0.0000 0.3255 0.5000
0.3255 0.0000 0.5000
0.6745 0.6745 0.5000
```

Results
final energy = -4.83 eV/atom
energy above the most stable polymorph in this dataset = 389.6 meV per atom
ΔE_f (raw) = 524 meV/atom

---

Record 8
Here is a geometry-optimized Nd4Dy2Tm3 structure from the Alexandria database. Energies are from GGA-PBE.

Structure (POSCAR):
```
Nd4Dy2Tm3
1.0
8.4841 -4.9034 0.0000
8.4841 4.9034 0.0000
-0.0071 0.0000 7.0434
Nd Dy Tm
8 4 6
direct
0.1468 0.8177 0.9996
0.1816 0.4703 0.9999
0.1823 0.8532 0.5004
0.4703 0.1816 0.4999
0.5297 0.8184 0.5001
0.8177 0.1468 0.4996
0.8184 0.5297 0.0001
0.8532 0.1823 0.0004
0.1494 0.5321 0.5002
0.4679 0.8506 0.9998
0.5321 0.1494 0.0002
0.8506 0.4679 0.4998
0.1704 0.1711 0.7498
0.1711 0.1704 0.2498
0.4993 0.5007 0.2500
0.5007 0.4993 0.7500
0.8289 0.8296 0.7502
0.8296 0.8289 0.2502
```

Results
final energy = -4.59 eV/atom
energy above the most stable polymorph in this dataset = 25.0 meV per atom
DFT formation energy = 0.0450 eV per atom

---

Record 9
Here is a geometry-optimized ErPaCSe2 structure from the Alexandria database. Energies are from GGA-PBE.

Structure (POSCAR):
```
ErPaCSe2
1.0
3.9695 0.0000 0.0000
0.0000 3.9695 0.0000
0.0000 0.0000 14.4331
Er Pa C Se
2 2 2 4
direct
0.2500 0.2500 0.1208
0.7500 0.7500 0.8792
0.2500 0.2500 0.5819
0.7500 0.7500 0.4181
0.2500 0.7500 0.5000
0.7500 0.2500 0.5000
0.2500 0.2500 0.3060
0.2500 0.2500 0.9094
0.7500 0.7500 0.0906
0.7500 0.7500 0.6940
```

Results
final energy = -7.31 eV/atom
ΔE_f (raw) = -1261 meV/atom

---

Record 10
Here is a geometry-optimized NaAcCd structure from the Alexandria database. Energies are from GGA-PBE.

Structure (POSCAR):
```
NaAcCd
1.0
16.7010 0.0000 0.0000
0.0000 3.8503 0.0000
-0.7152 0.0000 6.6530
Na Ac Cd
4 4 4
direct
0.0598 0.0000 0.3143
0.4402 0.5000 0.6857
0.5598 0.5000 0.3143
0.9402 0.0000 0.6857
0.2314 0.0000 0.7554
0.2686 0.5000 0.2446
0.7314 0.5000 0.7554
0.7686 0.0000 0.2446
0.0819 0.5000 0.9279
0.4181 0.0000 0.0721
0.5819 0.0000 0.9279
0.9181 0.5000 0.0721
```

Results
final energy = -2.12 eV/atom
energy above the most stable polymorph in this dataset = 45.2 meV per atom
DFT formation energy = -0.0063 eV per atom

---

Record 11
Here is a geometry-optimized PmY2Hf structure from the Alexandria database. Energies are from GGA-PBE.

Structure (POSCAR):
```
PmY2Hf
1.0
4.8775 0.0000 0.0000
0.0000 4.8775 0.0000
0.0000 0.0000 4.9315
Pm Y Hf
1 2 1
direct
0.0000 0.0000 0.0000
0.0000 0.5000 0.5000
0.5000 0.0000 0.5000
0.5000 0.5000 0.0000
```

Results
final energy = -6.74 eV/atom
energy above the most stable polymorph in this dataset = 40.8 meV per atom
DFT formation energy = 0.1670 eV per atom

---

Record 12
Here is a geometry-optimized SrPr2MgTl4 structure from the Alexandria database. Energies are from GGA-PBE.

Structure (POSCAR):
```
SrPr2MgTl4
1.0
2.7247 1.5731 9.3647
-2.7247 1.5731 9.3647
0.0000 -3.1462 9.3647
Sr Pr Mg Tl
1 2 1 4
direct
0.0000 0.0000 0.0000
0.2401 0.2401 0.2401
0.7599 0.7599 0.7599
0.5000 0.5000 0.5000
0.1244 0.1244 0.1244
0.3790 0.3790 0.3790
0.6210 0.6210 0.6210
0.8756 0.8756 0.8756
```

Results
final energy = -3.09 eV/atom
DFT formation energy = -0.3024 eV per atom

---

Record 13
Here is a geometry-optimized LaDy7Er12 structure from the Alexandria database. Energies are from GGA-PBE.

Structure (POSCAR):
```
LaDy7Er12
1.0
5.9909 3.4589 5.2116
-5.9909 3.4589 5.2116
0.0000 -6.9177 5.2116
La Dy Er
1 7 12
direct
0.0000 0.0000 0.0000
0.0014 0.3686 0.8764
0.1236 0.9986 0.6314
0.3686 0.8764 0.0014
0.5000 0.5000 0.5000
0.6314 0.1236 0.9986
0.8764 0.0014 0.3686
0.9986 0.6314 0.1236
0.1080 0.3462 0.4363
0.2350 0.6435 0.7649
0.2351 0.7650 0.3565
0.3462 0.4363 0.1080
0.3565 0.2351 0.7650
0.4363 0.1081 0.3462
0.5637 0.8919 0.6538
0.6435 0.7649 0.2350
0.6538 0.5637 0.8919
0.7649 0.2350 0.6435
0.7650 0.3565 0.2351
0.8920 0.6538 0.5637
```

Results
final energy = -4.35 eV/atom
energy above the most stable polymorph in this dataset = 0.0 meV per atom
DFT formation energy = 0.2400 eV per atom

---

Record 14
Here is a geometry-optimized Mg2Zn structure from the Alexandria database. Energies are from GGA-PBE.

Structure (POSCAR):
```
Mg2Zn
1.0
8.8978 0.0000 0.0000
0.0000 5.1902 0.0000
-3.2415 0.0000 5.0944
Mg Zn
8 4
direct
0.1698 0.0949 0.2478
0.1698 0.9051 0.7478
0.3302 0.4051 0.7522
0.3302 0.5949 0.2522
0.6698 0.4051 0.7478
0.6698 0.5949 0.2478
0.8302 0.0949 0.2522
0.8302 0.9051 0.7522
0.0000 0.4131 0.7500
0.0000 0.5869 0.2500
0.5000 0.0869 0.2500
0.5000 0.9131 0.7500
```

Results
final energy = -1.51 eV/atom
DFT formation energy = -0.0249 eV per atom

---

Record 15
Here is a geometry-optimized Rb2HgPAu structure from the Alexandria database. Energies are from GGA-PBE.

Structure (POSCAR):
```
Rb2HgPAu
1.0
6.6739 0.0000 0.0000
0.0000 6.6739 0.0000
0.0000 0.0000 4.6027
Rb Hg P Au
2 1 1 1
direct
0.0000 0.5000 0.0000
0.5000 0.0000 0.0000
0.0000 0.0000 0.5000
0.5000 0.5000 0.0000
0.5000 0.5000 0.5000
```

Results
final energy = -2.41 eV/atom
energy above the most stable polymorph in this dataset = 0.0 meV per atom
DFT formation energy = -0.2292 eV per atom

---

Record 16
Here is a geometry-optimized TbPrSm3Tm structure from the Alexandria database. Energies are from GGA-PBE.

Structure (POSCAR):
```
TbPrSm3Tm
1.0
2.9110 -5.8399 0.0000
2.9110 5.8399 0.0000
0.0000 0.0000 11.7553
Tb Pr Sm Tm
2 2 6 2
direct
0.0000 0.0000 0.0000
0.0000 0.0000 0.5000
0.4716 0.5284 0.7500
0.5284 0.4716 0.2500
0.1324 0.8676 0.2500
0.3255 0.6745 0.0340
0.3255 0.6745 0.4660
0.6745 0.3255 0.5340
0.6745 0.3255 0.9660
0.8676 0.1324 0.7500
0.1714 0.8286 0.7500
0.8286 0.1714 0.2500
```

Results
final energy = -4.55 eV/atom
DFT formation energy = 0.1197 eV per atom

---

Record 17
Here is a geometry-optimized LaTaW structure from the Alexandria database. Energies are from GGA-PBE.

Structure (POSCAR):
```
LaTaW
1.0
3.4115 0.0000 0.0000
0.0000 3.4115 0.0000
0.0000 0.0000 11.7047
La Ta W
2 2 2
direct
0.0000 0.0000 0.0000
0.5000 0.5000 0.5000
0.0000 0.0000 0.7053
0.5000 0.5000 0.2053
0.0000 0.0000 0.3096
0.5000 0.5000 0.8096
```

Results
final energy = -9.49 eV/atom
energy above the most stable polymorph in this dataset = 0.0 meV per atom
DFT formation energy = 0.4260 eV per atom

---

Record 18
Here is a geometry-optimized Ho3Th3Sc structure from the Alexandria database. Energies are from GGA-PBE.

Structure (POSCAR):
```
Ho3Th3Sc
1.0
4.3144 2.4909 7.1756
-4.3144 2.4909 7.1756
0.0000 -4.9818 7.1756
Ho Th Sc
6 6 2
direct
0.0643 0.7360 0.5593
0.2640 0.4407 0.9357
0.4407 0.9357 0.2640
0.5593 0.0643 0.7360
0.7360 0.5593 0.0643
0.9357 0.2640 0.4407
0.0645 0.2991 0.7939
0.2061 0.9355 0.7009
0.2991 0.7939 0.0645
0.7009 0.2061 0.9355
0.7939 0.0645 0.2991
0.9355 0.7009 0.2061
0.3466 0.3466 0.3466
0.6534 0.6534 0.6534
```

Results
final energy = -5.71 eV/atom
energy above the most stable polymorph in this dataset = 280.3 meV per atom
DFT formation energy = 0.3328 eV per atom

---

Record 19
Here is a geometry-optimized CoSi2Sb structure from the Alexandria database. Energies are from GGA-PBE.

Structure (POSCAR):
```
CoSi2Sb
1.0
2.9394 0.0000 0.0000
0.0000 2.9615 0.0000
0.0000 0.0000 7.3178
Co Si Sb
1 2 1
direct
0.0000 0.0000 0.0000
0.5000 0.5000 0.1779
0.5000 0.5000 0.8221
0.0000 0.0000 0.5000
```

Results
final energy = -5.37 eV/atom
ΔE_f (raw) = 148 meV/atom

---

Record 20
Here is a geometry-optimized KScPt2 structure from the Alexandria database. Energies are from GGA-PBE.

Structure (POSCAR):
```
KScPt2
1.0
10.4940 0.0000 0.0000
0.0000 3.0136 0.0000
-1.0598 0.0000 6.0620
K Sc Pt
2 2 4
direct
0.0000 0.0000 0.0000
0.5000 0.5000 0.0000
0.3161 0.5000 0.4451
0.8161 0.0000 0.4451
0.0267 0.5000 0.4914
0.2312 0.0000 0.7357
0.5267 0.0000 0.4914
0.7312 0.5000 0.7357
```

Results
final energy = -5.23 eV/atom
DFT formation energy = -0.3493 eV per atom